(1)
Material: Ba2Tl3Sb2
Method: DFT, PBE-GGA
State: optimized geometry

Cell lengths 12.423, 4.819, 8.580 Å; angles 90.00, 98.32, 90.00 degrees
Space group C2/m (No. 12)
Asymmetric unit:
1 Ba 0.117 0.000 0.326 (multiplicity 4)
2 Tl 0.000 0.500 0.000 (multiplicity 2)
3 Tl 0.190 0.000 0.877 (multiplicity 4)
4 Sb 0.094 0.500 0.638 (multiplicity 4)

- ΔE_f (raw) (meV per atom) = -527
- E (eV per atom) = -3.27
- total moment (μB per atom) = 0.0000
- excess energy over the best structure of this formula in the dataset (eV/atom) = 0.0000



(2)
Material: Pm2Zn9Au3
Method: DFT, PBE-GGA
State: optimized geometry

Cell lengths 13.254, 7.997, 9.487 Å; angles 90.00, 90.00, 90.00 degrees
Space group Cmcm (No. 63)
Asymmetric unit:
1 Pm 0.160 0.158 0.250 (multiplicity 8)
2 Zn 0.000 0.149 0.750 (multiplicity 4)
3 Zn 0.000 0.341 0.054 (multiplicity 8)
4 Zn 0.099 0.454 0.750 (multiplicity 8)
5 Zn 0.159 0.185 0.591 (multiplicity 16)
6 Au 0.000 0.000 0.000 (multiplicity 4)
7 Au 0.187 0.500 0.000 (multiplicity 8)

- E (eV per atom) = -2.59
- total moment (μB per atom) = 0.0000
- DFT formation energy (eV per formula unit) = -5.48



(3)
Material: CeMoH
Method: DFT, PBE-GGA
State: optimized geometry

Cell lengths 5.566, 6.190, 6.641 Å; angles 79.77, 65.27, 65.50 degrees
Space group P-1 (No. 2)
Asymmetric unit:
1 Ce 0.080 0.203 0.247 (multiplicity 2)
2 Ce 0.326 0.201 0.750 (multiplicity 2)
3 Mo 0.272 0.749 0.000 (multiplicity 2)
4 Mo 0.328 0.499 0.349 (multiplicity 2)
5 H 0.064 0.811 0.331 (multiplicity 2)
6 H 0.389 0.812 0.670 (multiplicity 2)

- E (eV per atom) = -6.66
- total moment (μB per atom) = 0.0008



(4)
Material: PuScAl
Method: DFT, PBE-GGA
State: optimized geometry

Cell lengths 5.0297, 5.0297, 2.9095 Å; angles 90.00, 90.00, 120.00 degrees
Space group P-6m2 (No. 187)
Asymmetric unit:
1 Pu 0.0000 0.0000 0.0000 (multiplicity 1)
2 Sc 0.3333 0.6667 0.0000 (multiplicity 1)
3 Al 0.6667 0.3333 0.5000 (multiplicity 1)

- E (eV per atom) = -8.18
- total moment (μB per atom) = 1.9729
- excess energy over the best structure of this formula in the dataset (eV/atom) = 0.0956
- DFT formation energy (eV per formula unit) = -0.14



(5)
Material: La2Zn2Pd5Au
Method: DFT, PBE-GGA
State: optimized geometry

Cell lengths 9.808, 9.808, 3.916 Å; angles 90.00, 90.00, 90.00 degrees
Space group P4/mbm (No. 127)
Asymmetric unit:
1 La 0.182 0.318 0.000 (multiplicity 4)
2 Zn 0.115 0.615 0.000 (multiplicity 4)
3 Pd 0.000 0.500 0.500 (multiplicity 2)
4 Pd 0.064 0.792 0.500 (multiplicity 8)
5 Au 0.000 0.000 0.000 (multiplicity 2)

- E (eV per atom) = -4.80
- total moment (μB per atom) = 0.0000
- DFT formation energy (eV per formula unit) = -6.31



(6)
Material: K2Ni2Hg
Method: DFT, PBE-GGA
State: optimized geometry

Cell lengths 6.702, 6.702, 5.331 Å; angles 90.00, 90.00, 90.00 degrees
Space group P4/mbm (No. 127)
Asymmetric unit:
1 K 0.181 0.319 0.000 (multiplicity 4)
2 Ni 0.122 0.622 0.500 (multiplicity 4)
3 Hg 0.000 0.000 0.500 (multiplicity 2)

- E (eV per atom) = -2.45
- total moment (μB per atom) = 0.0067
- excess energy over the best structure of this formula in the dataset (eV/atom) = 0.0000
- DFT formation energy (eV per formula unit) = 1.81



(7)
Material: TiOs3Ru
Method: DFT, PBE-GGA
State: optimized geometry

Cell lengths 4.456, 4.456, 4.456 Å; angles 90.00, 90.00, 90.00 degrees
Space group Pm-3m (No. 221)
Asymmetric unit:
1 Ti 0.000 0.000 0.000 (multiplicity 1)
2 Os 0.000 0.000 0.500 (multiplicity 3)
3 Ru 0.500 0.500 0.500 (multiplicity 1)

- E (eV per atom) = -8.21
- total moment (μB per atom) = 0.0000
- excess energy over the best structure of this formula in the dataset (eV/atom) = 0.0000
- DFT formation energy (eV per formula unit) = 9.83



(8)
Material: Be2CrW
Method: DFT, PBE-GGA
State: optimized geometry

Cell lengths 3.361, 3.996, 6.684 Å; angles 90.00, 90.00, 90.00 degrees
Space group Cmm2 (No. 35)
Asymmetric unit:
1 Be 0.000 0.000 0.000 (multiplicity 2)
2 Be 0.000 0.500 0.181 (multiplicity 2)
3 Cr 0.000 0.500 0.769 (multiplicity 2)
4 W 0.000 0.000 0.446 (multiplicity 2)

- E (eV per atom) = -7.35
- total moment (μB per atom) = 0.0000
- excess energy over the best structure of this formula in the dataset (eV/atom) = 0.2318
- DFT formation energy (eV per formula unit) = 0.64



(9)
Material: Ba2UAgSe5
Method: DFT, PBE-GGA
State: optimized geometry

Cell lengths 4.345, 18.939, 13.326 Å; angles 90.00, 90.00, 90.00 degrees
Space group Cmc2_1 (No. 36)
Asymmetric unit:
1 Ba 0.000 0.110 0.000 (multiplicity 4)
2 Ba 0.000 0.119 0.625 (multiplicity 4)
3 U 0.000 0.204 0.325 (multiplicity 4)
4 Ag 0.000 0.434 0.745 (multiplicity 4)
5 Se 0.000 0.065 0.359 (multiplicity 4)
6 Se 0.000 0.288 0.963 (multiplicity 4)
7 Se 0.000 0.297 0.685 (multiplicity 4)
8 Se 0.000 0.348 0.316 (multiplicity 4)
9 Se 0.000 0.498 0.075 (multiplicity 4)

- ΔE_f (raw) (meV per atom) = -1368
- E (eV per atom) = -5.30
- total moment (μB per atom) = 0.1094



(10)
Material: NdDy3
Method: DFT, PBE-GGA
State: optimized geometry

Cell lengths 8.060, 8.060, 8.060 Å; angles 90.00, 90.00, 90.00 degrees
Space group Fm-3m (No. 225)
Asymmetric unit:
1 Nd 0.000 0.000 0.000 (multiplicity 4)
2 Dy 0.000 0.000 0.500 (multiplicity 4)
3 Dy 0.250 0.250 0.250 (multiplicity 8)

- E (eV per atom) = -4.51
- total moment (μB per atom) = 0.0002
- excess energy over the best structure of this formula in the dataset (eV/atom) = 0.1224
- DFT formation energy (eV per formula unit) = 0.55



(11)
Material: Sb2MoPb
Method: DFT, PBE-GGA
State: optimized geometry

Cell lengths 6.606, 6.606, 13.130 Å; angles 90.00, 90.00, 90.00 degrees
Space group I-42d (No. 122)
Asymmetric unit:
1 Sb 0.194 0.250 0.125 (multiplicity 8)
2 Mo 0.000 0.000 0.000 (multiplicity 4)
3 Pb 0.000 0.000 0.500 (multiplicity 4)

- ΔE_f (raw) (meV per atom) = 551
- E (eV per atom) = -5.15
- total moment (μB per atom) = 0.4815



(12)
Material: CsRb2TlCd
Method: DFT, PBE-GGA
State: optimized geometry

Cell lengths 7.293, 7.293, 5.888 Å; angles 90.00, 90.00, 90.00 degrees
Space group P4/mmm (No. 123)
Asymmetric unit:
1 Cs 0.000 0.000 0.000 (multiplicity 1)
2 Rb 0.000 0.500 0.500 (multiplicity 2)
3 Tl 0.500 0.500 0.500 (multiplicity 1)
4 Cd 0.500 0.500 0.000 (multiplicity 1)

- E (eV per atom) = -1.17
- total moment (μB per atom) = 0.0000
- excess energy over the best structure of this formula in the dataset (eV/atom) = 0.0003
- DFT formation energy (eV per formula unit) = 0.20



(13)
Material: NiOsRh
Method: DFT, PBE-GGA
State: optimized geometry

Cell lengths 4.1935, 4.1935, 2.6110 Å; angles 90.00, 90.00, 120.00 degrees
Space group P-6m2 (No. 187)
Asymmetric unit:
1 Ni 0.0000 0.0000 0.0000 (multiplicity 1)
2 Os 0.6667 0.3333 0.5000 (multiplicity 1)
3 Rh 0.3333 0.6667 0.0000 (multiplicity 1)

- E (eV per atom) = -7.93
- total moment (μB per atom) = 0.0000
- excess energy over the best structure of this formula in the dataset (eV/atom) = 0.1295
- DFT formation energy (eV per formula unit) = 0.56



(14)
Material: Tm5BiTe5
Method: DFT, PBE-GGA
State: optimized geometry

Cell lengths 13.586, 6.134, 8.604 Å; angles 90.00, 108.32, 90.00 degrees
Space group C2/m (No. 12)
Asymmetric unit:
1 Tm 0.000 0.000 0.000 (multiplicity 2)
2 Tm 0.165 0.500 0.337 (multiplicity 4)
3 Tm 0.167 0.500 0.829 (multiplicity 4)
4 Bi 0.000 0.500 0.000 (multiplicity 2)
5 Te 0.000 0.500 0.500 (multiplicity 2)
6 Te 0.162 0.000 0.337 (multiplicity 4)
7 Te 0.166 0.000 0.830 (multiplicity 4)

- ΔE_f (raw) (meV per atom) = -1221
- E (eV per atom) = -5.03
- total moment (μB per atom) = 0.0000



(15)
Material: HfZrTcRh
Method: DFT, PBE-GGA
State: optimized geometry

Cell lengths 3.323, 4.588, 4.622 Å; angles 90.00, 90.00, 90.00 degrees
Space group Pmmm (No. 47)
Asymmetric unit:
1 Hf 0.000 0.000 0.000 (multiplicity 1)
2 Zr 0.000 0.500 0.500 (multiplicity 1)
3 Tc 0.500 0.000 0.500 (multiplicity 1)
4 Rh 0.500 0.500 0.000 (multiplicity 1)

- E (eV per atom) = -9.76
- total moment (μB per atom) = 0.0000
- DFT formation energy (eV per formula unit) = -2.82



(16)
Material: Zr4GeC2
Method: DFT, PBE-GGA
State: optimized geometry

Cell lengths 3.455, 11.339, 11.812 Å; angles 90.00, 90.00, 90.00 degrees
Space group Cmcm (No. 63)
Asymmetric unit:
1 Zr 0.000 0.000 0.000 (multiplicity 4)
2 Zr 0.000 0.263 0.108 (multiplicity 8)
3 Zr 0.000 0.425 0.750 (multiplicity 4)
4 Ge 0.000 0.109 0.750 (multiplicity 4)
5 C 0.000 0.364 0.561 (multiplicity 8)

- E (eV per atom) = -8.96
- total moment (μB per atom) = 0.0000
- DFT formation energy (eV per formula unit) = -5.44



(17)
Material: Dy8Y4Ho3
Method: DFT, PBE-GGA
State: optimized geometry

Cell lengths 6.9090, 6.9090, 35.2285 Å; angles 90.00, 90.00, 120.00 degrees
Space group R-3m (No. 166, hexagonal axes)
Asymmetric unit:
1 Dy 0.0000 0.0000 0.2445 (multiplicity 6)
2 Dy 0.0020 0.5010 0.7507 (multiplicity 18)
3 Y 0.0000 0.0000 0.0000 (multiplicity 3)
4 Y 0.0000 0.0000 0.3361 (multiplicity 6)
5 Y 0.0000 0.0000 0.5000 (multiplicity 3)
6 Ho 0.0000 0.5000 0.5000 (multiplicity 9)

- E (eV per atom) = -4.96
- total moment (μB per atom) = 0.0012
- excess energy over the best structure of this formula in the dataset (eV/atom) = 0.0000
- DFT formation energy (eV per formula unit) = 2.04



(18)
Material: NaNiGe2
Method: DFT, PBE-GGA
State: optimized geometry

Cell lengths 2.946, 2.946, 7.802 Å; angles 90.00, 90.00, 90.00 degrees
Space group P4/mmm (No. 123)
Asymmetric unit:
1 Na 0.000 0.000 0.000 (multiplicity 1)
2 Ni 0.000 0.000 0.500 (multiplicity 1)
3 Ge 0.500 0.500 0.308 (multiplicity 2)

- E (eV per atom) = -4.24
- total moment (μB per atom) = 0.0000
- excess energy over the best structure of this formula in the dataset (eV/atom) = 0.0141
- DFT formation energy (eV per formula unit) = -0.63



(19)
Material: HfZr3Co2
Method: DFT, PBE-GGA
State: optimized geometry

Cell lengths 6.213, 12.203, 6.412 Å; angles 90.00, 90.00, 90.00 degrees
Space group Ibam (No. 72)
Asymmetric unit:
1 Hf 0.000 0.000 0.000 (multiplicity 4)
2 Zr 0.000 0.235 0.250 (multiplicity 8)
3 Zr 0.000 0.500 0.250 (multiplicity 4)
4 Co 0.210 0.362 0.000 (multiplicity 8)

- E (eV per atom) = -8.35
- total moment (μB per atom) = 0.0000
- excess energy over the best structure of this formula in the dataset (eV/atom) = 0.0609
- DFT formation energy (eV per formula unit) = -0.31



(20)
Material: RbHgPbI5
Method: DFT, PBE-GGA
State: optimized geometry

Cell lengths 10.621, 14.042, 11.658 Å; angles 90.00, 113.91, 90.00 degrees
Space group C2/c (No. 15)
Asymmetric unit:
1 Rb 0.000 0.150 0.250 (multiplicity 4)
2 Hg 0.000 0.182 0.750 (multiplicity 4)
3 Pb 0.000 0.500 0.000 (multiplicity 4)
4 I 0.000 0.411 0.250 (multiplicity 4)
5 I 0.122 0.289 0.613 (multiplicity 8)
6 I 0.181 0.061 0.948 (multiplicity 8)

- ΔE_f (raw) (meV per atom) = -720
- E (eV per atom) = -2.31
- total moment (μB per atom) = 0.0000



(21)
Material: Ba2CdPt
Method: DFT, PBE-GGA
State: optimized geometry

Cell lengths 4.797, 4.797, 11.270 Å; angles 90.00, 90.00, 90.00 degrees
Space group I-4m2 (No. 119)
Asymmetric unit:
1 Ba 0.000 0.000 0.000 (multiplicity 2)
2 Ba 0.000 0.500 0.250 (multiplicity 2)
3 Cd 0.000 0.500 0.750 (multiplicity 2)
4 Pt 0.000 0.000 0.500 (multiplicity 2)

- E (eV per atom) = -2.95
- total moment (μB per atom) = 0.0005
- DFT formation energy (eV per formula unit) = -1.02



(22)
Material: CaZrW2
Method: DFT, PBE-GGA
State: optimized geometry

Cell lengths 9.545, 2.776, 6.117 Å; angles 90.00, 90.87, 90.00 degrees
Space group Cm (No. 8)
Asymmetric unit:
1 Ca 0.000 0.000 0.000 (multiplicity 2)
2 Zr 0.243 0.000 0.716 (multiplicity 2)
3 W 0.004 0.500 0.473 (multiplicity 2)
4 W 0.250 0.500 0.277 (multiplicity 2)

- E (eV per atom) = -8.44
- total moment (μB per atom) = 0.0000
- excess energy over the best structure of this formula in the dataset (eV/atom) = 0.2807
- DFT formation energy (eV per formula unit) = 2.72



(23)
Material: DyTeCl
Method: DFT, PBE-GGA
State: optimized geometry

Cell lengths 4.127, 4.127, 22.457 Å; angles 90.00, 90.00, 90.00 degrees
Space group I-4m2 (No. 119)
Asymmetric unit:
1 Dy 0.000 0.000 0.152 (multiplicity 4)
2 Te 0.000 0.000 0.298 (multiplicity 4)
3 Cl 0.000 0.500 0.071 (multiplicity 4)

- ΔE_f (raw) (meV per atom) = -1679
- E (eV per atom) = -4.88
- total moment (μB per atom) = 0.0000